# TcAs4Ir

TcAs4Ir after structural relaxation (GGA-PBE, Alexandria via LeMat-Bulk).

a = 6.093 Å, b = 6.062 Å, c = 6.008 Å
α = 90.00°, β = 90.81°, γ = 90.00°
Sites, in units of the cell vectors:
Tc1 0.000 0.000 0.000
Tc2 0.000 0.500 0.500
As1 0.126 0.126 0.380
As2 0.126 0.374 0.880
As3 0.378 0.619 0.380
As4 0.378 0.881 0.880
As5 0.622 0.119 0.120
As6 0.622 0.381 0.620
As7 0.874 0.626 0.120
As8 0.874 0.874 0.620
Ir1 0.500 0.000 0.500
Ir2 0.500 0.500 0.000

E_form ... -35 meV/atom
Uncorrected energy ... -38.0 eV per formula unit

---

# TcAsIr

TcAsIr after structural relaxation (GGA-PBE, Alexandria via LeMat-Bulk).

a = 8.848 Å, b = 3.910 Å, c = 5.950 Å
α = 90.00°, β = 105.81°, γ = 90.00°
Sites, in units of the cell vectors:
Tc1 0.132 0.000 0.442
Tc2 0.368 0.500 0.558
Tc3 0.632 0.500 0.442
Tc4 0.868 0.000 0.558
As1 0.167 0.500 0.166
As2 0.333 0.000 0.834
As3 0.667 0.000 0.166
As4 0.833 0.500 0.834
Ir1 0.089 0.500 0.722
Ir2 0.411 0.000 0.278
Ir3 0.589 0.000 0.722
Ir4 0.911 0.500 0.278

E_form ... -56 meV/atom
Uncorrected energy ... -24.0 eV per formula unit

---

# TcAsIr2

TcAsIr2 after structural relaxation (GGA-PBE, Alexandria via LeMat-Bulk).

a = 5.567 Å, b = 5.567 Å, c = 11.043 Å
α = 90.00°, β = 90.00°, γ = 90.00°
Sites, in units of the cell vectors:
Tc1 0.000 0.000 0.000
Tc2 0.000 0.500 0.250
Tc3 0.500 0.000 0.750
Tc4 0.500 0.500 0.500
As1 0.000 0.000 0.500
As2 0.000 0.500 0.750
As3 0.500 0.000 0.250
As4 0.500 0.500 0.000
Ir1 0.250 0.250 0.125
Ir2 0.250 0.250 0.625
Ir3 0.250 0.750 0.375
Ir4 0.250 0.750 0.875
Ir5 0.750 0.250 0.375
Ir6 0.750 0.250 0.875
Ir7 0.750 0.750 0.125
Ir8 0.750 0.750 0.625

E_form ... 528 meV/atom
Uncorrected energy ... -30.6 eV per formula unit

---

# Tc2AsIr

Tc2AsIr after structural relaxation (GGA-PBE, Alexandria via LeMat-Bulk).

a = 6.219 Å, b = 6.219 Å, c = 6.219 Å
α = 90.00°, β = 90.00°, γ = 90.00°
Sites, in units of the cell vectors:
Tc1 0.000 0.000 0.000
Tc2 0.000 0.500 0.500
Tc3 0.250 0.250 0.250
Tc4 0.250 0.750 0.750
Tc5 0.500 0.000 0.500
Tc6 0.500 0.500 0.000
Tc7 0.750 0.250 0.750
Tc8 0.750 0.750 0.250
As1 0.250 0.250 0.750
As2 0.250 0.750 0.250
As3 0.750 0.250 0.250
As4 0.750 0.750 0.750
Ir1 0.000 0.000 0.500
Ir2 0.000 0.500 0.000
Ir3 0.500 0.000 0.000
Ir4 0.500 0.500 0.500

E_form ... 343 meV/atom
Uncorrected energy ... -32.9 eV per formula unit

---

# Tc3AsIr

Tc3AsIr after structural relaxation (GGA-PBE, Alexandria via LeMat-Bulk).

a = 4.709 Å, b = 4.709 Å, c = 4.709 Å
α = 90.00°, β = 90.00°, γ = 90.00°
Sites, in units of the cell vectors:
Tc1 0.000 0.000 0.500
Tc2 0.000 0.500 0.000
Tc3 0.500 0.000 0.000
As1 0.500 0.500 0.500
Ir1 0.000 0.000 0.000

E_form ... 1761 meV/atom
Uncorrected energy ... -35.8 eV per formula unit

---

# TcAsIr2

TcAsIr2 after structural relaxation (GGA-PBE, Alexandria via LeMat-Bulk).

a = 4.679 Å, b = 4.679 Å, c = 2.783 Å
α = 90.00°, β = 90.00°, γ = 90.00°
Sites, in units of the cell vectors:
Tc1 0.000 0.000 0.000
As1 0.500 0.500 0.000
Ir1 0.000 0.500 0.500
Ir2 0.500 0.000 0.500

E_form ... 322 meV/atom
Uncorrected energy ... -31.4 eV per formula unit

---

# Tc2AsIr

Tc2AsIr after structural relaxation (GGA-PBE, Alexandria via LeMat-Bulk).

a = 2.834 Å, b = 2.834 Å, c = 25.588 Å
α = 90.00°, β = 90.00°, γ = 120.00°
Sites, in units of the cell vectors:
Tc1 0.000 0.000 0.000
Tc2 0.000 0.000 0.250
Tc3 0.333 0.667 0.667
Tc4 0.333 0.667 0.917
Tc5 0.667 0.333 0.333
Tc6 0.667 0.333 0.584
As1 0.000 0.000 0.749
As2 0.333 0.667 0.416
As3 0.667 0.333 0.083
Ir1 0.000 0.000 0.498
Ir2 0.333 0.667 0.164
Ir3 0.667 0.333 0.831

E_form ... 68 meV/atom
Uncorrected energy ... -34.0 eV per formula unit

---

# TlTcAs2Ir

TlTcAs2Ir after structural relaxation (GGA-PBE, Alexandria via LeMat-Bulk).

a = 4.767 Å, b = 4.767 Å, c = 4.975 Å
α = 90.00°, β = 90.00°, γ = 90.00°
Sites, in units of the cell vectors:
Tl1 0.000 0.000 0.000
Tc1 0.500 0.500 0.500
As1 0.000 0.500 0.500
As2 0.500 0.000 0.500
Ir1 0.500 0.500 0.000

E_form ... 679 meV/atom
Uncorrected energy ... -27.5 eV per formula unit

---

# Tc2AsIrW

Tc2AsIrW after structural relaxation (GGA-PBE, Alexandria via LeMat-Bulk).

a = 4.433 Å, b = 4.433 Å, c = 4.571 Å
α = 90.00°, β = 90.00°, γ = 90.00°
Sites, in units of the cell vectors:
Tc1 0.000 0.500 0.000
Tc2 0.500 0.000 0.000
As1 0.000 0.000 0.000
Ir1 0.500 0.500 0.500
W1 0.000 0.000 0.500

E_form ... 1426 meV/atom
Uncorrected energy ... -40.1 eV per formula unit

---

# Te2AsIr

Te2AsIr after structural relaxation (GGA-PBE, Alexandria via LeMat-Bulk).

a = 4.220 Å, b = 4.360 Å, c = 11.171 Å
α = 90.00°, β = 90.00°, γ = 90.00°
Sites, in units of the cell vectors:
Te1 0.000 0.000 0.000
Te2 0.000 0.500 0.353
Te3 0.500 0.000 0.353
Te4 0.500 0.500 0.000
As1 0.000 0.500 0.683
As2 0.500 0.000 0.683
Ir1 0.000 0.000 0.553
Ir2 0.500 0.500 0.553

Formation energy (no corrections) ... 14 kJ/mol of atoms
Uncorrected energy ... -19.2 eV per formula unit

---

# Te2AsIr

Te2AsIr after structural relaxation (GGA-PBE, Alexandria via LeMat-Bulk).

a = 11.140 Å, b = 3.801 Å, c = 5.752 Å
α = 90.00°, β = 110.07°, γ = 90.00°
Sites, in units of the cell vectors:
Te1 0.000 0.000 0.000
Te2 0.161 0.000 0.622
Te3 0.500 0.500 0.000
Te4 0.661 0.500 0.622
As1 0.274 0.000 0.209
As2 0.774 0.500 0.209
Ir1 0.147 0.500 0.290
Ir2 0.647 0.000 0.290

Formation energy (no corrections) ... 6 kJ/mol of atoms
Uncorrected energy ... -19.6 eV per formula unit

---

# Te2AsIr

Te2AsIr after structural relaxation (GGA-PBE, Alexandria via LeMat-Bulk).

a = 2.966 Å, b = 3.881 Å, c = 8.247 Å
α = 90.00°, β = 90.20°, γ = 90.00°
Sites, in units of the cell vectors:
Te1 0.008 0.000 0.219
Te2 0.992 0.000 0.781
As1 0.000 0.500 0.500
Ir1 0.000 0.500 0.000

Formation energy (no corrections) ... 24 kJ/mol of atoms
Uncorrected energy ... -18.8 eV per formula unit

---

# Te2AsIr

Te2AsIr after structural relaxation (GGA-PBE, Alexandria via LeMat-Bulk).

a = 3.337 Å, b = 4.840 Å, c = 5.208 Å
α = 90.00°, β = 90.00°, γ = 90.00°
Sites, in units of the cell vectors:
Te1 0.000 0.000 0.000
Te2 0.500 0.000 0.500
As1 0.000 0.500 0.500
Ir1 0.500 0.500 0.000

Formation energy (no corrections) ... 64 kJ/mol of atoms
Uncorrected energy ... -17.2 eV per formula unit

---

# Te2AsIr

Te2AsIr after structural relaxation (GGA-PBE, Alexandria via LeMat-Bulk).

a = 6.872 Å, b = 3.960 Å, c = 7.095 Å
α = 90.00°, β = 108.60°, γ = 90.00°
Sites, in units of the cell vectors:
Te1 0.238 0.000 0.217
Te2 0.262 0.500 0.783
Te3 0.738 0.500 0.217
Te4 0.762 0.000 0.783
As1 0.000 0.000 0.500
As2 0.500 0.500 0.500
Ir1 0.000 0.500 0.000
Ir2 0.500 0.000 0.000

Formation energy (no corrections) ... 10 kJ/mol of atoms
Uncorrected energy ... -19.4 eV per formula unit

---

# Te2AsIr

Te2AsIr after structural relaxation (GGA-PBE, Alexandria via LeMat-Bulk).

a = 3.552 Å, b = 3.552 Å, c = 7.797 Å
α = 90.00°, β = 90.00°, γ = 90.00°
Sites, in units of the cell vectors:
Te1 0.000 0.000 0.000
Te2 0.500 0.500 0.415
As1 0.000 0.000 0.652
Ir1 0.500 0.500 0.760

Formation energy (no corrections) ... 28 kJ/mol of atoms
Uncorrected energy ... -18.6 eV per formula unit

---

# Te2AsIr

Te2AsIr after structural relaxation (GGA-PBE, Alexandria via LeMat-Bulk).

a = 3.961 Å, b = 3.961 Å, c = 24.994 Å
α = 90.00°, β = 90.00°, γ = 120.00°
Sites, in units of the cell vectors:
Te1 0.000 0.000 0.112
Te2 0.000 0.000 0.888
Te3 0.333 0.667 0.555
Te4 0.333 0.667 0.779
Te5 0.667 0.333 0.221
Te6 0.667 0.333 0.445
As1 0.000 0.000 0.000
As2 0.333 0.667 0.667
As3 0.667 0.333 0.333
Ir1 0.000 0.000 0.500
Ir2 0.333 0.667 0.167
Ir3 0.667 0.333 0.833

Formation energy (no corrections) ... 16 kJ/mol of atoms
Uncorrected energy ... -19.1 eV per formula unit

---

# Te2AsIr

Te2AsIr after structural relaxation (GGA-PBE, Alexandria via LeMat-Bulk).

a = 6.304 Å, b = 6.304 Å, c = 12.127 Å
α = 90.00°, β = 90.00°, γ = 90.00°
Sites, in units of the cell vectors:
Te1 0.209 0.250 0.125
Te2 0.250 0.709 0.375
Te3 0.250 0.791 0.875
Te4 0.291 0.250 0.625
Te5 0.709 0.750 0.625
Te6 0.750 0.209 0.875
Te7 0.750 0.291 0.375
Te8 0.791 0.750 0.125
As1 0.000 0.000 0.500
As2 0.000 0.500 0.750
As3 0.500 0.000 0.250
As4 0.500 0.500 0.000
Ir1 0.000 0.000 0.000
Ir2 0.000 0.500 0.250
Ir3 0.500 0.000 0.750
Ir4 0.500 0.500 0.500

Formation energy (no corrections) ... 26 kJ/mol of atoms
Uncorrected energy ... -18.7 eV per formula unit

---

# Te2AsIr

Te2AsIr after structural relaxation (GGA-PBE, Alexandria via LeMat-Bulk).

a = 5.589 Å, b = 5.589 Å, c = 5.753 Å
α = 90.00°, β = 90.00°, γ = 90.00°
Sites, in units of the cell vectors:
Te1 0.000 0.500 0.000
Te2 0.000 0.500 0.500
Te3 0.500 0.000 0.000
Te4 0.500 0.000 0.500
As1 0.000 0.000 0.000
As2 0.500 0.500 0.500
Ir1 0.000 0.000 0.500
Ir2 0.500 0.500 0.000

Formation energy (no corrections) ... 27 kJ/mol of atoms
Uncorrected energy ... -18.7 eV per formula unit

---

# Te3AsIr

Te3AsIr after structural relaxation (GGA-PBE, Alexandria via LeMat-Bulk).

a = 5.215 Å, b = 5.215 Å, c = 5.215 Å
α = 90.00°, β = 90.00°, γ = 90.00°
Sites, in units of the cell vectors:
Te1 0.000 0.000 0.500
Te2 0.000 0.500 0.000
Te3 0.500 0.000 0.000
As1 0.500 0.500 0.500
Ir1 0.000 0.000 0.000

Formation energy (no corrections) ... 65 kJ/mol of atoms
Uncorrected energy ... -19.6 eV per formula unit

---

# TeAs3Ir

TeAs3Ir after structural relaxation (GGA-PBE, Alexandria via LeMat-Bulk).

a = 4.892 Å, b = 4.892 Å, c = 4.892 Å
α = 90.00°, β = 90.00°, γ = 90.00°
Sites, in units of the cell vectors:
Te1 0.000 0.000 0.000
As1 0.000 0.500 0.500
As2 0.500 0.000 0.500
As3 0.500 0.500 0.000
Ir1 0.500 0.500 0.500

Formation energy (no corrections) ... 48 kJ/mol of atoms
Uncorrected energy ... -23.4 eV per formula unit

---

# Te2AsIr

Te2AsIr after structural relaxation (GGA-PBE, Alexandria via LeMat-Bulk).

a = 3.170 Å, b = 3.170 Å, c = 8.816 Å
α = 90.00°, β = 90.00°, γ = 90.00°
Sites, in units of the cell vectors:
Te1 0.000 0.000 0.205
Te2 0.000 0.000 0.795
As1 0.500 0.500 0.500
Ir1 0.500 0.500 0.000

Formation energy (no corrections) ... 45 kJ/mol of atoms
Uncorrected energy ... -17.9 eV per formula unit

---

# Te2AsIr

Te2AsIr after structural relaxation (GGA-PBE, Alexandria via LeMat-Bulk).

a = 5.334 Å, b = 5.334 Å, c = 6.001 Å
α = 90.00°, β = 90.00°, γ = 90.00°
Sites, in units of the cell vectors:
Te1 0.000 0.000 0.000
Te2 0.000 0.500 0.250
Te3 0.500 0.000 0.750
Te4 0.500 0.500 0.500
As1 0.000 0.500 0.750
As2 0.500 0.000 0.250
Ir1 0.000 0.000 0.500
Ir2 0.500 0.500 0.000

Formation energy (no corrections) ... 62 kJ/mol of atoms
Uncorrected energy ... -17.2 eV per formula unit

---

# Te2AsIr

Te2AsIr after structural relaxation (GGA-PBE, Alexandria via LeMat-Bulk).

a = 3.763 Å, b = 4.292 Å, c = 12.905 Å
α = 90.00°, β = 90.00°, γ = 90.00°
Sites, in units of the cell vectors:
Te1 0.000 0.000 0.150
Te2 0.000 0.000 0.850
Te3 0.500 0.500 0.350
Te4 0.500 0.500 0.650
As1 0.000 0.500 0.000
As2 0.500 0.000 0.500
Ir1 0.000 0.500 0.500
Ir2 0.500 0.000 0.000

Formation energy (no corrections) ... 13 kJ/mol of atoms
Uncorrected energy ... -19.3 eV per formula unit

---

# Te2AsIr

Te2AsIr after structural relaxation (GGA-PBE, Alexandria via LeMat-Bulk).

a = 3.834 Å, b = 5.364 Å, c = 9.027 Å
α = 90.00°, β = 90.00°, γ = 90.00°
Sites, in units of the cell vectors:
Te1 0.000 0.000 0.000
Te2 0.000 0.500 0.500
Te3 0.500 0.000 0.306
Te4 0.500 0.500 0.806
As1 0.000 0.000 0.614
As2 0.000 0.500 0.114
Ir1 0.500 0.000 0.791
Ir2 0.500 0.500 0.291

Formation energy (no corrections) ... -6 kJ/mol of atoms
Uncorrected energy ... -20.0 eV per formula unit

---

# Te3AsIr

Te3AsIr after structural relaxation (GGA-PBE, Alexandria via LeMat-Bulk).

a = 5.259 Å, b = 5.259 Å, c = 5.259 Å
α = 90.00°, β = 90.00°, γ = 90.00°
Sites, in units of the cell vectors:
Te1 0.000 0.000 0.500
Te2 0.000 0.500 0.000
Te3 0.500 0.000 0.000
As1 0.000 0.000 0.000
Ir1 0.500 0.500 0.500

Formation energy (no corrections) ... 132 kJ/mol of atoms
Uncorrected energy ... -16.1 eV per formula unit

---

# Te2AsIr

Te2AsIr after structural relaxation (GGA-PBE, Alexandria via LeMat-Bulk).

a = 3.041 Å, b = 3.041 Å, c = 36.471 Å
α = 90.00°, β = 90.00°, γ = 120.00°
Sites, in units of the cell vectors:
Te1 0.000 0.000 0.071
Te2 0.000 0.000 0.929
Te3 0.333 0.667 0.596
Te4 0.333 0.667 0.737
Te5 0.667 0.333 0.263
Te6 0.667 0.333 0.404
As1 0.000 0.000 0.500
As2 0.333 0.667 0.167
As3 0.667 0.333 0.833
Ir1 0.000 0.000 0.000
Ir2 0.333 0.667 0.667
Ir3 0.667 0.333 0.333

Formation energy (no corrections) ... 55 kJ/mol of atoms
Uncorrected energy ... -17.5 eV per formula unit

---

# Te2AsIr

Te2AsIr after structural relaxation (GGA-PBE, Alexandria via LeMat-Bulk).

a = 3.666 Å, b = 3.666 Å, c = 25.314 Å
α = 90.00°, β = 90.00°, γ = 120.00°
Sites, in units of the cell vectors:
Te1 0.000 0.000 0.000
Te2 0.000 0.000 0.210
Te3 0.333 0.667 0.667
Te4 0.333 0.667 0.876
Te5 0.667 0.333 0.333
Te6 0.667 0.333 0.543
As1 0.000 0.000 0.759
As2 0.333 0.667 0.426
As3 0.667 0.333 0.092
Ir1 0.000 0.000 0.480
Ir2 0.333 0.667 0.146
Ir3 0.667 0.333 0.813

Formation energy (no corrections) ... 5 kJ/mol of atoms
Uncorrected energy ... -19.6 eV per formula unit

---

# Te4AsIr

Te4AsIr after structural relaxation (GGA-PBE, Alexandria via LeMat-Bulk).

a = 6.095 Å, b = 6.095 Å, c = 6.095 Å
α = 60.00°, β = 60.00°, γ = 60.00°
Sites, in units of the cell vectors:
Te1 0.376 0.376 0.376
Te2 0.376 0.376 0.872
Te3 0.376 0.872 0.376
Te4 0.872 0.376 0.376
As1 0.000 0.000 0.000
Ir1 0.750 0.750 0.750

Formation energy (no corrections) ... 125 kJ/mol of atoms
Uncorrected energy ... -18.3 eV per formula unit

---

# Te2AsIr

Te2AsIr after structural relaxation (GGA-PBE, Alexandria via LeMat-Bulk).

a = 5.014 Å, b = 5.014 Å, c = 3.285 Å
α = 90.00°, β = 90.00°, γ = 90.00°
Sites, in units of the cell vectors:
Te1 0.000 0.500 0.000
Te2 0.500 0.000 0.000
As1 0.000 0.000 0.500
Ir1 0.500 0.500 0.500

Formation energy (no corrections) ... 51 kJ/mol of atoms
Uncorrected energy ... -17.7 eV per formula unit

---

Number 1: total moment 0.00 Bohr magnetons per cell. Number 2: total moment 0.00 Bohr magnetons per cell. Number 3: total moment 0.00 Bohr magnetons per cell. Number 4: total moment 4.39 Bohr magnetons per cell. Number 5: total moment 1.56 Bohr magnetons per cell. Number 6: total moment 0.01 Bohr magnetons per cell. Number 7: total moment 0.00 Bohr magnetons per cell. Number 8: total moment 0.00 Bohr magnetons per cell. Number 9: total moment 0.00 Bohr magnetons per cell. Number 10: total moment 0.00 Bohr magnetons per cell. Number 11: total moment 0.00 Bohr magnetons per cell. Number 12: total moment 0.00 Bohr magnetons per cell. Number 13: total moment 0.00 Bohr magnetons per cell. Number 14: total moment 0.00 Bohr magnetons per cell. Number 15: total moment 0.00 Bohr magnetons per cell. Number 16: total moment 0.00 Bohr magnetons per cell. Number 17: total moment 0.00 Bohr magnetons per cell. Number 18: total moment 0.00 Bohr magnetons per cell. Number 19: total moment 0.00 Bohr magnetons per cell. Number 20: total moment 0.00 Bohr magnetons per cell. Number 21: total moment 0.00 Bohr magnetons per cell. Number 22: total moment 0.00 Bohr magnetons per cell. Number 23: total moment 0.00 Bohr magnetons per cell. Number 24: total moment 0.00 Bohr magnetons per cell. Number 25: total moment 1.47 Bohr magnetons per cell. Number 26: total moment 0.00 Bohr magnetons per cell. Number 27: total moment 0.00 Bohr magnetons per cell. Number 28: total moment 0.82 Bohr magnetons per cell. Number 29: total moment 0.00 Bohr magnetons per cell.